Compound: LaMg6Ti
Source: the Alexandria database
Functional: PBE
Structure: optimized geometry

Unit cell a=5.207 b=6.773 c=6.773 alpha=55.00 beta=90.00 gamma=90.00
Atoms (fractional coordinates):
La (0.000, 0.000, 0.000)
Mg (0.000, 0.500, 0.990)
Mg (0.000, 0.990, 0.500)
Mg (0.500, 0.152, 0.637)
Mg (0.500, 0.166, 0.166)
Mg (0.500, 0.626, 0.626)
Mg (0.500, 0.637, 0.152)
Ti (0.000, 0.475, 0.475)

## Properties
For the calculated formation energy, the calculation gives 1.0 eV per formula unit. As for the relative energy among the computed polymorphs: 0.0448 eV/atom.

=====

Compound: PrNdPaN3
Source: the Alexandria database
Functional: PBE
Structure: optimized geometry

Unit cell a=6.022 b=3.542 c=9.633 alpha=90.00 beta=94.83 gamma=90.00
Atoms (fractional coordinates):
Pr (0.220, 0.250, 0.233)
Pr (0.780, 0.750, 0.767)
Nd (0.309, 0.250, 0.880)
Nd (0.691, 0.750, 0.120)
Pa (0.256, 0.750, 0.555)
Pa (0.744, 0.250, 0.445)
N (0.024, 0.250, 0.631)
N (0.288, 0.750, 0.052)
N (0.487, 0.750, 0.372)
N (0.513, 0.250, 0.628)
N (0.712, 0.250, 0.948)
N (0.976, 0.750, 0.369)

## Properties
As for the total DFT energy (no corrections): -8.685 eV per atom.

=====

Compound: In2Pb2Se
Source: the Alexandria database
Functional: PBE
Structure: optimized geometry

Unit cell a=8.044 b=8.044 c=4.740 alpha=90.00 beta=90.00 gamma=90.00
Atoms (fractional coordinates):
In (0.155, 0.345, 0.000)
In (0.345, 0.845, 0.000)
In (0.655, 0.155, 0.000)
In (0.845, 0.655, 0.000)
Pb (0.153, 0.653, 0.500)
Pb (0.347, 0.153, 0.500)
Pb (0.653, 0.847, 0.500)
Pb (0.847, 0.347, 0.500)
Se (0.000, 0.000, 0.500)
Se (0.500, 0.500, 0.500)

## Properties
As for the relative energy among the computed polymorphs: 0.0000 eV/atom.

=====

Compound: Zn3NiPd12
Source: the Alexandria database
Functional: PBE
Structure: optimized geometry

Unit cell a=3.900 b=3.900 c=15.687 alpha=90.00 beta=90.00 gamma=90.00
Atoms (fractional coordinates):
Zn (0.000, 0.000, 0.000)
Zn (0.000, 0.000, 0.251)
Zn (0.000, 0.000, 0.749)
Ni (0.000, 0.000, 0.500)
Pd (0.000, 0.500, 0.126)
Pd (0.000, 0.500, 0.378)
Pd (0.000, 0.500, 0.622)
Pd (0.000, 0.500, 0.874)
Pd (0.500, 0.000, 0.126)
Pd (0.500, 0.000, 0.378)
Pd (0.500, 0.000, 0.622)
Pd (0.500, 0.000, 0.874)
Pd (0.500, 0.500, 0.000)
Pd (0.500, 0.500, 0.253)
Pd (0.500, 0.500, 0.500)
Pd (0.500, 0.500, 0.747)

## Properties
For the calculated formation energy, the calculation gives -3.4 eV per formula unit.

=====

Compound: PdS2ICl
Source: the Alexandria database
Functional: PBE
Structure: optimized geometry

Unit cell a=4.806 b=4.806 c=4.779 alpha=90.00 beta=90.00 gamma=90.00
Atoms (fractional coordinates):
Pd (0.000, 0.000, 0.000)
S (0.000, 0.500, 0.000)
S (0.500, 0.000, 0.000)
I (0.500, 0.500, 0.500)
Cl (0.000, 0.000, 0.500)

## Properties
As for the relative energy among the computed polymorphs: 0.0000 eV/atom.

=====

Compound: MnTl2Zn
Source: the Alexandria database
Functional: PBE
Structure: optimized geometry

Unit cell a=6.220 b=6.220 c=4.926 alpha=111.24 beta=111.24 gamma=30.21
Atoms (fractional coordinates):
Mn (0.000, 0.000, 0.000)
Tl (0.262, 0.262, 0.796)
Tl (0.476, 0.476, 0.482)
Zn (0.689, 0.689, 0.228)

## Properties
For the calculated formation energy, the calculation gives 1.3 eV per formula unit. As for the relative energy among the computed polymorphs: 0.0657 eV/atom.

=====

Compound: Ga2PPbBr
Source: the Alexandria database
Functional: PBE
Structure: optimized geometry

Unit cell a=5.371 b=5.371 c=5.092 alpha=90.00 beta=90.00 gamma=90.00
Atoms (fractional coordinates):
Ga (0.000, 0.500, 0.000)
Ga (0.500, 0.000, 0.000)
P (0.000, 0.000, 0.500)
Pb (0.500, 0.500, 0.500)
Br (0.000, 0.000, 0.000)

## Properties
As for the total DFT energy (no corrections): -2.769 eV per atom.

=====

Compound: GdErBe
Source: the Alexandria database
Functional: PBE
Structure: optimized geometry

Unit cell a=6.477 b=6.477 c=6.477 alpha=149.04 beta=149.04 gamma=44.35
Atoms (fractional coordinates):
Gd (0.000, 0.000, 0.000)
Er (0.271, 0.271, 0.000)
Be (0.641, 0.641, 0.000)

## Properties
For the calculated formation energy, the calculation gives 0.3 eV per formula unit.